# CsRbHfTe3

Crystalline CsRbHfTe3 at its relaxed geometry (GGA-PBE, the Open Quantum Materials Database).

Calculated values
As for the space group: P2_1/m (11).

Cell: 9.211 4.352 11.915 Å, 90.00 96.98 90.00°
Fractional coordinates of all 12 atoms:
Te  0.673  0.750  0.016
Te  0.543  0.250  0.714
Hf  0.407  0.750  0.830
Te  0.457  0.750  0.286
Cs  0.920  0.250  0.857
Hf  0.593  0.250  0.170
Te  0.142  0.750  0.696
Rb  0.750  0.750  0.520
Cs  0.080  0.750  0.143
Rb  0.250  0.250  0.480
Te  0.858  0.250  0.304
Te  0.327  0.250  0.984

***

# TmTlSiTe3

Crystalline TmTlSiTe3 at its relaxed geometry (GGA-PBE, the Open Quantum Materials Database).

Calculated values
As for the space group: Cmcm (63).

Cell: 7.794 7.794 11.502 Å, 90.00 90.00 145.41°
Fractional coordinates of all 12 atoms:
Te  0.865  0.135  0.448
Te  0.427  0.573  0.750
Si  0.031  0.969  0.750
Tm  0.500  0.500  0.500
Te  0.135  0.865  0.948
Te  0.573  0.427  0.250
Te  0.865  0.135  0.052
Te  0.135  0.865  0.552
Tm  0.500  0.500  0.000
Si  0.969  0.031  0.250
Tl  0.250  0.750  0.250
Tl  0.750  0.250  0.750

***

Computed calculated total energy, in the same sequence as the records: -53.89; -49.18 eV for the cell shown.